Nb2TePt2, relaxed, DFT PBE; uncorrected formation energy = -0.151 eV per atom; V = 19.10 Å³/atom
1.0
-0.2238 0.8730 7.0243
6.9771 -1.1573 0.3661
0.6415 3.7271 -0.4428
Nb Pt Te
4 4 2
direct
0.8484 0.3484 0.5000
0.1516 0.6516 0.5000
0.6516 0.8484 0.5000
0.3484 0.1516 0.5000
0.1344 0.3656 0.0000
0.6344 0.1344 0.0000
0.3656 0.8656 0.0000
0.8656 0.6344 0.0000
0.5000 0.5000 0.0000
0.0000 0.0000 0.0000